8
Lattice="3.341 -3.924 0.000 3.341 3.924 0.000 0.000 0.000 4.034" Properties=species:S:1:pos:R:3 comment="GGA-PBEsol Zn5Rh3, optimized geometry" volume_a3_per_cell=105.8 space_group=Cmmm formation_energy_ev_per_atom=-0.376 magmom_total_mub_per_cell=0.00 pbc="T T T"
Zn 0.000 0.000 0.000
Zn 1.670 1.962 0.000
Zn 1.850 0.000 2.017
Zn 1.670 -1.962 0.000
Zn 4.832 0.000 2.017
Rh 3.341 2.170 2.017
Rh 3.341 0.000 0.000
Rh 3.341 -2.170 2.017

=====

4
Lattice="3.104 0.000 0.000 0.000 3.944 0.000 0.000 0.000 6.093" Properties=species:S:1:pos:R:3 comment="GGA-PBEsol CdInAg2, optimized geometry" volume_a3_per_cell=74.6 space_group=Pmmm formation_energy_ev_per_atom=-0.034 magmom_total_mub_per_cell=0.00 pbc="T T T"
Cd 0.000 0.000 0.000
In 0.000 0.000 3.047
Ag 1.552 1.972 1.489
Ag 1.552 1.972 4.604

=====

4
Lattice="2.945 0.000 0.000 0.000 2.945 0.000 0.000 0.000 5.629" Properties=species:S:1:pos:R:3 comment="GGA-PBEsol BeRe2Si, optimized geometry" raw_formation_energy_ev_per_fu=-1.4 volume_a3_per_cell=48.8 space_group=P4mm magmom_total_mub_per_cell=0.00 pbc="T T T"
Be 0.000 0.000 0.000
Re 0.000 0.000 2.955
Re 1.472 1.472 1.266
Si 1.472 1.472 4.402

=====

54
Lattice="11.052 0.000 0.000 0.000 13.136 0.000 0.000 0.000 5.009" Properties=species:S:1:pos:R:3 comment="GGA-PBEsol Cr2As6O19, optimized geometry" raw_formation_energy_ev_per_fu=-31.4 volume_a3_per_cell=727.1 space_group=Pmmn magmom_total_mub_per_cell=7.99 pbc="T T T"
Cr 0.000 0.000 0.000
Cr 0.000 6.568 0.000
Cr 5.526 0.000 0.000
Cr 5.526 6.568 0.000
As 1.167 1.701 2.445
As 1.167 4.867 2.445
As 2.763 8.277 0.117
As 2.763 11.427 0.117
As 4.359 1.701 2.445
As 4.359 4.867 2.445
As 6.693 8.269 2.564
As 6.693 11.434 2.564
As 8.289 1.709 4.891
As 8.289 4.859 4.891
As 9.885 8.269 2.564
As 9.885 11.434 2.564
O 0.162 1.569 1.108
O 0.162 4.999 1.108
O 0.898 3.284 3.183
O 1.285 0.679 3.764
O 1.285 5.889 3.764
O 1.393 7.441 0.860
O 1.393 12.262 0.860
O 2.763 1.821 1.705
O 2.763 4.747 1.705
O 2.763 8.395 3.493
O 2.763 9.852 0.976
O 2.763 11.309 3.493
O 4.133 7.441 0.860
O 4.133 12.262 0.860
O 4.241 0.679 3.764
O 4.241 5.889 3.764
O 4.628 3.284 3.183
O 5.364 1.569 1.108
O 5.364 4.999 1.108
O 5.687 8.137 3.900
O 5.687 11.567 3.900
O 6.424 9.852 1.826
O 6.810 7.247 1.244
O 6.810 12.456 1.244
O 6.919 0.873 4.149
O 6.919 5.695 4.149
O 8.289 1.827 1.515
O 8.289 3.284 4.033
O 8.289 4.741 1.515
O 8.289 8.389 3.304
O 8.289 11.315 3.304
O 9.659 0.873 4.149
O 9.659 5.695 4.149
O 9.767 7.247 1.244
O 9.767 12.456 1.244
O 10.154 9.852 1.826
O 10.890 8.137 3.900
O 10.890 11.567 3.900

=====

Copy entry 4 word for word.
54
Lattice="11.052 0.000 0.000 0.000 13.136 0.000 0.000 0.000 5.009" Properties=species:S:1:pos:R:3 comment="GGA-PBEsol Cr2As6O19, optimized geometry" raw_formation_energy_ev_per_fu=-31.4 volume_a3_per_cell=727.1 space_group=Pmmn magmom_total_mub_per_cell=7.99 pbc="T T T"
Cr 0.000 0.000 0.000
Cr 0.000 6.568 0.000
Cr 5.526 0.000 0.000
Cr 5.526 6.568 0.000
As 1.167 1.701 2.445
As 1.167 4.867 2.445
As 2.763 8.277 0.117
As 2.763 11.427 0.117
As 4.359 1.701 2.445
As 4.359 4.867 2.445
As 6.693 8.269 2.564
As 6.693 11.434 2.564
As 8.289 1.709 4.891
As 8.289 4.859 4.891
As 9.885 8.269 2.564
As 9.885 11.434 2.564
O 0.162 1.569 1.108
O 0.162 4.999 1.108
O 0.898 3.284 3.183
O 1.285 0.679 3.764
O 1.285 5.889 3.764
O 1.393 7.441 0.860
O 1.393 12.262 0.860
O 2.763 1.821 1.705
O 2.763 4.747 1.705
O 2.763 8.395 3.493
O 2.763 9.852 0.976
O 2.763 11.309 3.493
O 4.133 7.441 0.860
O 4.133 12.262 0.860
O 4.241 0.679 3.764
O 4.241 5.889 3.764
O 4.628 3.284 3.183
O 5.364 1.569 1.108
O 5.364 4.999 1.108
O 5.687 8.137 3.900
O 5.687 11.567 3.900
O 6.424 9.852 1.826
O 6.810 7.247 1.244
O 6.810 12.456 1.244
O 6.919 0.873 4.149
O 6.919 5.695 4.149
O 8.289 1.827 1.515
O 8.289 3.284 4.033
O 8.289 4.741 1.515
O 8.289 8.389 3.304
O 8.289 11.315 3.304
O 9.659 0.873 4.149
O 9.659 5.695 4.149
O 9.767 7.247 1.244
O 9.767 12.456 1.244
O 10.154 9.852 1.826
O 10.890 8.137 3.900
O 10.890 11.567 3.900